LaY2ScCo, optimized geometry, DFT PBE; raw total energy = -31.5 eV per cell; energy of formation from the pure elements = -0.05 eV/atom; DOS(E_F) = 7.85 states/eV/f.u.
1.0
5.3004 0.0000 0.0000
0.0000 5.3004 0.0000
0.0000 0.0000 5.0895
Y Sc Co La
2 1 1 1
direct
0.0000 0.5000 0.0000
0.5000 0.0000 0.0000
0.0000 0.0000 0.5000
0.0000 0.0000 0.0000
0.5000 0.5000 0.5000